[1]
VASP calculation (PBE) on crystalline ErTmPa2C4 at its relaxed geometry.

Values from the calculation:
For the formation energy, the calculation gives -0.435 eV per atom.

Lattice parameters (Å, degrees): 6.144 3.617 6.262 90.00 109.87 90.00
Positions (direct):
Er 0.000 0.000 0.000
Tm 0.000 0.500 0.500
Pa 0.500 0.000 0.500
Pa 0.500 0.500 0.000
C 0.269 0.000 0.756
C 0.270 0.500 0.257
C 0.730 0.500 0.743
C 0.731 0.000 0.244

***

[2]
VASP calculation (PBE) on crystalline ErU2PaC4 at its relaxed geometry.

Values from the calculation:
For the formation energy, the calculation gives -0.284 eV per atom.

Lattice parameters (Å, degrees): 6.060 3.556 6.158 90.00 109.91 90.00
Positions (direct):
Er 0.000 0.000 0.000
U 0.500 0.000 0.500
U 0.500 0.500 0.000
Pa 0.000 0.500 0.500
C 0.271 0.000 0.755
C 0.277 0.500 0.263
C 0.723 0.500 0.737
C 0.729 0.000 0.245

***

[3]
VASP calculation (PBE) on crystalline ErZr2PaC4 at its relaxed geometry.

Values from the calculation:
For the formation energy, the calculation gives -0.572 eV per atom.

Lattice parameters (Å, degrees): 5.965 3.448 6.042 90.00 109.20 90.00
Positions (direct):
Er 0.000 0.000 0.000
Zr 0.000 0.500 0.500
Zr 0.500 0.000 0.500
Pa 0.500 0.500 0.000
C 0.252 0.000 0.739
C 0.261 0.500 0.261
C 0.739 0.500 0.739
C 0.748 0.000 0.261

***

[4]
VASP calculation (PBE) on crystalline Er7Pb3C2 at its relaxed geometry.

Values from the calculation:
For the distance to the lowest polymorph of the same formula, the calculation gives 37 meV per atom. For the formation energy, the calculation gives -0.528 eV per atom.

Lattice parameters (Å, degrees): 12.618 12.618 4.786 90.00 90.00 157.69
Positions (direct):
Er 0.000 0.000 0.000
Er 0.097 0.903 0.500
Er 0.197 0.803 0.000
Er 0.400 0.600 0.000
Er 0.600 0.400 0.000
Er 0.803 0.197 0.000
Er 0.903 0.097 0.500
Pb 0.310 0.690 0.500
Pb 0.500 0.500 0.500
Pb 0.690 0.310 0.500
C 0.099 0.901 0.000
C 0.901 0.099 0.000

***

[5]
VASP calculation (PBE) on crystalline Er4PbC2 at its relaxed geometry.

Values from the calculation:
For the formation energy, the calculation gives -0.425 eV per atom.

Lattice parameters (Å, degrees): 14.299 14.299 14.299 14.39 14.39 14.39
Positions (direct):
Er 0.125 0.125 0.125
Er 0.271 0.271 0.271
Er 0.729 0.729 0.729
Er 0.875 0.875 0.875
Pb 0.000 0.000 0.000
C 0.428 0.428 0.428
C 0.572 0.572 0.572

***

[6]
VASP calculation (PBE) on crystalline Er4Pb3C at its relaxed geometry.

Values from the calculation:
For the formation energy, the calculation gives -0.315 eV per atom.

Lattice parameters (Å, degrees): 7.788 7.788 3.625 90.00 90.00 100.00
Positions (direct):
Er 0.168 0.168 0.500
Er 0.209 0.791 0.000
Er 0.791 0.209 0.000
Er 0.832 0.832 0.500
Pb 0.000 0.500 0.500
Pb 0.500 0.000 0.500
Pb 0.500 0.500 0.000
C 0.000 0.000 0.000

***

[7]
VASP calculation (PBE) on crystalline Er6Pb3C at its relaxed geometry.

Values from the calculation:
For the formation energy, the calculation gives -0.309 eV per atom.

Lattice parameters (Å, degrees): 6.728 6.728 7.448 105.56 105.56 59.98
Positions (direct):
Er 0.149 0.653 0.630
Er 0.172 0.172 0.803
Er 0.347 0.851 0.370
Er 0.653 0.149 0.630
Er 0.828 0.828 0.197
Er 0.851 0.347 0.370
Pb 0.315 0.315 0.254
Pb 0.500 0.500 0.000
Pb 0.685 0.685 0.746
C 0.000 0.000 0.500

***

[8]
VASP calculation (PBE) on crystalline ErPbC at its relaxed geometry.

Values from the calculation:
For the formation energy, the calculation gives 0.146 eV per atom.

Lattice parameters (Å, degrees): 9.219 9.219 9.219 155.97 152.29 37.00
Positions (direct):
Er 0.101 0.101 0.000
Er 0.899 0.899 0.000
Pb 0.295 0.295 0.000
Pb 0.705 0.705 0.000
C 0.356 0.000 0.356
C 0.644 0.000 0.644

***

[9]
VASP calculation (PBE) on crystalline Er8Pb2C3 at its relaxed geometry.

Values from the calculation:
For the formation energy, the calculation gives -0.307 eV per atom.

Lattice parameters (Å, degrees): 8.390 8.390 6.336 105.18 105.18 50.78
Positions (direct):
Er 0.092 0.092 0.899
Er 0.153 0.670 0.612
Er 0.330 0.847 0.388
Er 0.401 0.401 0.065
Er 0.599 0.599 0.935
Er 0.670 0.153 0.612
Er 0.847 0.330 0.388
Er 0.908 0.908 0.101
Pb 0.255 0.255 0.332
Pb 0.745 0.745 0.668
C 0.000 0.000 0.500
C 0.254 0.746 0.000
C 0.746 0.254 0.000

***

[10]
VASP calculation (PBE) on crystalline Er5Pb4C at its relaxed geometry.

Values from the calculation:
For the formation energy, the calculation gives -0.311 eV per atom.

Lattice parameters (Å, degrees): 7.330 7.330 7.330 99.90 99.90 131.00
Positions (direct):
Er 0.000 0.000 0.000
Er 0.216 0.334 0.662
Er 0.334 0.672 0.118
Er 0.554 0.216 0.882
Er 0.672 0.554 0.338
Pb 0.001 0.606 0.727
Pb 0.275 0.001 0.395
Pb 0.606 0.879 0.605
Pb 0.879 0.275 0.273
C 0.394 0.394 0.000

***

[11]
VASP calculation (PBE) on crystalline Er12Pb6C at its relaxed geometry.

Values from the calculation:
For the formation energy, the calculation gives -0.359 eV per atom.

Lattice parameters (Å, degrees): 8.243 8.243 8.243 92.11 92.11 92.11
Positions (direct):
Er 0.044 0.716 0.925
Er 0.075 0.956 0.284
Er 0.203 0.544 0.416
Er 0.284 0.075 0.956
Er 0.416 0.203 0.544
Er 0.456 0.584 0.797
Er 0.544 0.416 0.203
Er 0.584 0.797 0.456
Er 0.716 0.925 0.044
Er 0.797 0.456 0.584
Er 0.925 0.044 0.716
Er 0.956 0.284 0.075
Pb 0.134 0.372 0.749
Pb 0.251 0.866 0.628
Pb 0.372 0.749 0.134
Pb 0.628 0.251 0.866
Pb 0.749 0.134 0.372
Pb 0.866 0.628 0.251
C 0.000 0.000 0.000

***

[12]
VASP calculation (PBE) on crystalline Er5Pb5C at its relaxed geometry.

Values from the calculation:
For the formation energy, the calculation gives -0.241 eV per atom.

Lattice parameters (Å, degrees): 6.894 6.894 9.193 112.58 112.58 50.04
Positions (direct):
Er 0.000 0.000 0.000
Er 0.347 0.347 0.091
Er 0.359 0.359 0.730
Er 0.641 0.641 0.270
Er 0.653 0.653 0.909
Pb 0.085 0.085 0.719
Pb 0.218 0.218 0.344
Pb 0.500 0.500 0.500
Pb 0.782 0.782 0.656
Pb 0.915 0.915 0.281
C 0.500 0.500 0.000

***

What did the third record say?
VASP calculation (PBE) on crystalline ErZr2PaC4 at its relaxed geometry.

Values from the calculation:
For the formation energy, the calculation gives -0.572 eV per atom.

Lattice parameters (Å, degrees): 5.965 3.448 6.042 90.00 109.20 90.00
Positions (direct):
Er 0.000 0.000 0.000
Zr 0.000 0.500 0.500
Zr 0.500 0.000 0.500
Pa 0.500 0.500 0.000
C 0.252 0.000 0.739
C 0.261 0.500 0.261
C 0.739 0.500 0.739
C 0.748 0.000 0.261